1.
Density functional theory data (PBE-GGA) for a relaxed structure of Ac5Hg2Ge2.

Lattice parameters (Å, degrees): 16.959 8.571 8.517 90.00 90.00 90.00
Space group Cmce (No. 64)
Asymmetric unit:
Ac (0.000, 0.000, 0.000)
Ac (0.130, 0.171, 0.337)
Hg (0.208, 0.000, 0.000)
Ge (0.000, 0.134, 0.637)

The value obtained for the calculated volume is 34.392 A^3/atom. Its energy is -3.915 eV per atom. The calculated formation energy is -4.9 eV per formula unit.

2.
Density functional theory data (PBE-GGA) for a relaxed structure of Ac4Hg3Ge.

Lattice parameters (Å, degrees): 4.042 4.042 15.797 90.00 90.00 90.00
Space group P4/mmm (No. 123)
Asymmetric unit:
Ac (0.000, 0.000, 0.109)
Ac (0.000, 0.000, 0.372)
Hg (0.500, 0.500, 0.245)
Hg (0.500, 0.500, 0.500)
Ge (0.500, 0.500, 0.000)

The value obtained for the calculated volume is 32.263 A^3/atom. Its energy is -3.243 eV per atom. The calculated formation energy is -4.0 eV per formula unit.

Please write out number 1 again, unchanged.
Density functional theory data (PBE-GGA) for a relaxed structure of Ac5Hg2Ge2.

Lattice parameters (Å, degrees): 16.959 8.571 8.517 90.00 90.00 90.00
Space group Cmce (No. 64)
Asymmetric unit:
Ac (0.000, 0.000, 0.000)
Ac (0.130, 0.171, 0.337)
Hg (0.208, 0.000, 0.000)
Ge (0.000, 0.134, 0.637)

The value obtained for the calculated volume is 34.392 A^3/atom. Its energy is -3.915 eV per atom. The calculated formation energy is -4.9 eV per formula unit.

Q: Which formula does entry 2 have?
A: Ac4Hg3Ge